DFT (PBE) results for crystalline Re2NiPt8 at its relaxed geometry.

Summary:
E_tot	-7.30	eV/atom
total magnetic moment	0.007	μB/atom

a = 3.9036 Å, b = 6.2378 Å, c = 7.3478 Å
α = 104.28°, β = 105.40°, γ = 90.00°
Positions (direct):
Re 0.2296 0.6242 0.4592
Re 0.7704 0.3758 0.5408
Ni 0.5000 0.0000 0.0000
Pt 0.5932 0.4587 0.1865
Pt 0.3175 0.0793 0.6349
Pt 0.1371 0.1920 0.2743
Pt 0.0490 0.7370 0.0979
Pt 0.8629 0.8080 0.7257
Pt 0.6825 0.9207 0.3651
Pt 0.4068 0.5413 0.8135
Pt 0.9510 0.2630 0.9021